(1)
# La4Eu2Co, optimized geometry, DFT PBE
# Volume: 38.37 A^3/atom
# Crystal system: tetragonal
# Formation energy: 0.13 eV per atom
data_La4Eu2Co
_chemical_formula_sum 'La8 Eu4 Co2'
_symmetry_space_group_name_H-M 'I 4/m m m'
_symmetry_Int_Tables_number 139
_symmetry_space_group_name_Hall '-I 4 2'
_cell_length_a 5.3428
_cell_length_b 5.3428
_cell_length_c 18.8198
_cell_angle_alpha 90.00
_cell_angle_beta 90.00
_cell_angle_gamma 90.00
loop_
_atom_site_label
_atom_site_fract_x
_atom_site_fract_y
_atom_site_fract_z
La1 0.0000 0.0000 0.1500
La2 0.0000 0.5000 0.0000
Eu1 0.0000 0.0000 0.3390
Co1 0.0000 0.0000 0.0000

(2)
# LiBePd2, optimized geometry, DFT PBE
# Volume: 13.38 A^3/atom
# Crystal system: trigonal
# Formation energy: -0.41 eV per atom
data_LiBePd2
_chemical_formula_sum 'Li3 Be3 Pd6'
_symmetry_space_group_name_H-M 'R -3 m'
_symmetry_Int_Tables_number 166
_symmetry_space_group_name_Hall '-R 3 2"'
_cell_length_a 2.8699
_cell_length_b 2.8699
_cell_length_c 22.5072
_cell_angle_alpha 90.00
_cell_angle_beta 90.00
_cell_angle_gamma 120.00
loop_
_atom_site_label
_atom_site_fract_x
_atom_site_fract_y
_atom_site_fract_z
Li1 0.0000 0.0000 0.0000
Be1 0.0000 0.0000 0.5000
Pd1 0.0000 0.0000 0.2383

(3)
# LiAl2Rh, optimized geometry, DFT PBE
# Volume: 13.72 A^3/atom
# Crystal system: tetragonal
# Formation energy: -0.62 eV per atom
data_LiAl2Rh
_chemical_formula_sum 'Li1 Al2 Rh1'
_symmetry_space_group_name_H-M 'P 4/m m m'
_symmetry_Int_Tables_number 123
_symmetry_space_group_name_Hall '-P 4 2'
_cell_length_a 4.2617
_cell_length_b 4.2617
_cell_length_c 3.0222
_cell_angle_alpha 90.00
_cell_angle_beta 90.00
_cell_angle_gamma 90.00
loop_
_atom_site_label
_atom_site_fract_x
_atom_site_fract_y
_atom_site_fract_z
Li1 0.0000 0.0000 0.0000
Al1 0.0000 0.5000 0.5000
Rh1 0.5000 0.5000 0.0000

(4)
# TaSbRu2, optimized geometry, DFT PBE
# Volume: 16.51 A^3/atom
# Formation energy (no corrections): -0.08 eV/atom
# Crystal system: tetragonal
data_TaSbRu2
_chemical_formula_sum 'Ta1 Sb1 Ru2'
_symmetry_space_group_name_H-M 'P 4/m m m'
_symmetry_Int_Tables_number 123
_symmetry_space_group_name_Hall '-P 4 2'
_cell_length_a 4.2706
_cell_length_b 4.2706
_cell_length_c 3.6201
_cell_angle_alpha 90.00
_cell_angle_beta 90.00
_cell_angle_gamma 90.00
loop_
_atom_site_label
_atom_site_fract_x
_atom_site_fract_y
_atom_site_fract_z
Ta1 0.0000 0.0000 0.0000
Sb1 0.5000 0.5000 0.0000
Ru1 0.0000 0.5000 0.5000

(5)
# BeCoNiSn, optimized geometry, DFT PBE
# Volume: 12.49 A^3/atom
# Crystal system: cubic
# Formation energy: -0.06 eV per atom
data_BeCoNiSn
_chemical_formula_sum 'Be4 Co4 Ni4 Sn4'
_symmetry_space_group_name_H-M 'F -4 3 m'
_symmetry_Int_Tables_number 216
_symmetry_space_group_name_Hall 'F -4 2 3'
_cell_length_a 5.8469
_cell_length_b 5.8469
_cell_length_c 5.8469
_cell_angle_alpha 90.00
_cell_angle_beta 90.00
_cell_angle_gamma 90.00
loop_
_atom_site_label
_atom_site_fract_x
_atom_site_fract_y
_atom_site_fract_z
Be1 0.0000 0.0000 0.0000
Co1 0.2500 0.2500 0.2500
Ni1 0.2500 0.2500 0.7500
Sn1 0.0000 0.0000 0.5000

(6)
# PmPd2Au6, optimized geometry, DFT PBE
# Volume: 22.46 A^3/atom
# Crystal system: hexagonal
# Formation energy: -0.15 eV per atom
# Polymorph energy (0 for the lowest one): 187 meV/atom
data_PmPd2Au6
_chemical_formula_sum 'Pm1 Pd2 Au6'
_symmetry_space_group_name_H-M 'P 6/m m m'
_symmetry_Int_Tables_number 191
_symmetry_space_group_name_Hall '-P 6 2'
_cell_length_a 5.5683
_cell_length_b 5.5683
_cell_length_c 7.5262
_cell_angle_alpha 90.00
_cell_angle_beta 90.00
_cell_angle_gamma 120.00
loop_
_atom_site_label
_atom_site_fract_x
_atom_site_fract_y
_atom_site_fract_z
Pm1 0.0000 0.0000 0.0000
Pd1 0.3333 0.6667 0.5000
Au1 0.0000 0.5000 0.2000

(7)
# Ac2LaPr3Se6, optimized geometry, DFT PBE
# Volume: 28.91 A^3/atom
# Formation energy (no corrections): -1.88 eV/atom
# Crystal system: monoclinic
data_Ac2LaPr3Se6
_chemical_formula_sum 'Ac4 La2 Pr6 Se12'
_symmetry_space_group_name_H-M 'C 1 2/m 1'
_symmetry_Int_Tables_number 12
_symmetry_space_group_name_Hall '-C 2y'
_cell_length_a 7.5135
_cell_length_b 13.0526
_cell_length_c 7.5096
_cell_angle_alpha 90.00
_cell_angle_beta 109.59
_cell_angle_gamma 90.00
loop_
_atom_site_label
_atom_site_fract_x
_atom_site_fract_y
_atom_site_fract_z
Ac1 0.0000 0.1663 0.0000
La1 0.0000 0.5000 0.0000
Pr1 0.0000 0.0000 0.5000
Pr2 0.0000 0.3311 0.5000
Se1 0.2413 0.5000 0.7400
Se2 0.2501 0.1643 0.7426

(8)
# BeMoW3, optimized geometry, DFT PBE
# Volume: 20.93 A^3/atom
# Crystal system: cubic
# Formation energy: 2.43 eV per atom
# Polymorph energy (0 for the lowest one): 1585 meV/atom
data_BeMoW3
_chemical_formula_sum 'Be1 Mo1 W3'
_symmetry_space_group_name_H-M 'P m -3 m'
_symmetry_Int_Tables_number 221
_symmetry_space_group_name_Hall '-P 4 2 3'
_cell_length_a 4.7123
_cell_length_b 4.7123
_cell_length_c 4.7123
_cell_angle_alpha 90.00
_cell_angle_beta 90.00
_cell_angle_gamma 90.00
loop_
_atom_site_label
_atom_site_fract_x
_atom_site_fract_y
_atom_site_fract_z
Be1 0.0000 0.0000 0.0000
Mo1 0.5000 0.5000 0.5000
W1 0.0000 0.5000 0.5000